(1)
A plane-wave DFT calculation with SCAN was carried out for Rb2FeRh at its PBEsol-relaxed geometry.

## Properties
Energy of formation = 1.374 eV/atom

Cell lengths 7.612, 7.612, 7.612 Å; angles 90.00, 90.00, 90.00 degrees
Element x y z (fractional)
Rb (0.250, 0.250, 0.250)
Rb (0.250, 0.250, 0.750)
Rb (0.250, 0.750, 0.250)
Rb (0.250, 0.750, 0.750)
Rb (0.750, 0.250, 0.250)
Rb (0.750, 0.250, 0.750)
Rb (0.750, 0.750, 0.250)
Rb (0.750, 0.750, 0.750)
Fe (0.000, 0.000, 0.000)
Fe (0.000, 0.500, 0.500)
Fe (0.500, 0.000, 0.500)
Fe (0.500, 0.500, 0.000)
Rh (0.000, 0.000, 0.500)
Rh (0.000, 0.500, 0.000)
Rh (0.500, 0.000, 0.000)
Rh (0.500, 0.500, 0.500)

=====

(2)
A plane-wave DFT calculation with SCAN was carried out for CuB2Ir2 at its PBEsol-relaxed geometry.

## Properties
Energy of formation = -0.226 eV/atom

Cell lengths 2.898, 2.898, 12.758 Å; angles 90.00, 90.00, 90.00 degrees
Element x y z (fractional)
Cu (0.000, 0.000, 0.000)
Cu (0.500, 0.500, 0.500)
B (0.000, 0.500, 0.250)
B (0.000, 0.500, 0.750)
B (0.500, 0.000, 0.250)
B (0.500, 0.000, 0.750)
Ir (0.000, 0.000, 0.373)
Ir (0.000, 0.000, 0.627)
Ir (0.500, 0.500, 0.127)
Ir (0.500, 0.500, 0.873)

=====

(3)
A plane-wave DFT calculation with SCAN was carried out for ZrIrBr2 at its PBEsol-relaxed geometry.

## Properties
ΔE_f (raw) = -50.0 kJ per mole of atoms

Cell lengths 3.215, 3.215, 8.515 Å; angles 90.00, 90.00, 90.00 degrees
Element x y z (fractional)
Zr (0.000, 0.000, 0.000)
Ir (0.500, 0.500, 0.827)
Br (0.000, 0.000, 0.600)
Br (0.500, 0.500, 0.226)

=====

(4)
A plane-wave DFT calculation with SCAN was carried out for BaCuPO2 at its PBEsol-relaxed geometry.

## Properties
ΔE_f (raw) = -61.5 kJ per mole of atoms

Cell lengths 4.257, 4.257, 4.222 Å; angles 90.00, 90.00, 90.00 degrees
Element x y z (fractional)
Ba (0.000, 0.000, 0.000)
Cu (0.500, 0.500, 0.500)
P (0.500, 0.500, 0.000)
O (0.000, 0.500, 0.500)
O (0.500, 0.000, 0.500)

=====

(5)
A plane-wave DFT calculation with SCAN was carried out for AuIO2F at its PBEsol-relaxed geometry.

## Properties
ΔE_f (raw) = 12.9 kJ per mole of atoms

Cell lengths 4.042, 4.042, 4.720 Å; angles 90.00, 90.00, 90.00 degrees
Element x y z (fractional)
Au (0.000, 0.000, 0.000)
I (0.500, 0.500, 0.500)
O (0.000, 0.500, 0.500)
O (0.500, 0.000, 0.500)
F (0.500, 0.500, 0.000)

=====

(6)
A plane-wave DFT calculation with SCAN was carried out for K2GeTe4 at its PBEsol-relaxed geometry.

## Properties
ΔE_f (raw) = -60.4 kJ per mole of atoms

Cell lengths 12.523, 8.210, 10.089 Å; angles 90.00, 103.77, 90.00 degrees
Element x y z (fractional)
K (0.043, 0.064, 0.206)
K (0.043, 0.436, 0.706)
K (0.353, 0.065, 0.706)
K (0.353, 0.435, 0.206)
K (0.647, 0.565, 0.794)
K (0.647, 0.935, 0.294)
K (0.957, 0.564, 0.294)
K (0.957, 0.936, 0.794)
Ge (0.256, 0.646, 0.534)
Ge (0.256, 0.854, 0.034)
Ge (0.744, 0.146, 0.966)
Ge (0.744, 0.354, 0.466)
Te (0.111, 0.638, 0.029)
Te (0.111, 0.862, 0.529)
Te (0.206, 0.151, 0.963)
Te (0.206, 0.349, 0.463)
Te (0.345, 0.516, 0.772)
Te (0.345, 0.984, 0.272)
Te (0.435, 0.745, 0.460)
Te (0.435, 0.755, 0.960)
Te (0.565, 0.245, 0.040)
Te (0.565, 0.255, 0.540)
Te (0.655, 0.016, 0.728)
Te (0.655, 0.484, 0.228)
Te (0.794, 0.651, 0.537)
Te (0.794, 0.849, 0.037)
Te (0.889, 0.138, 0.471)
Te (0.889, 0.362, 0.971)

=====

(7)
A plane-wave DFT calculation with SCAN was carried out for LaAl2SbN at its PBEsol-relaxed geometry.

## Properties
ΔE_f (raw) = -46.8 kJ per mole of atoms

Cell lengths 4.343, 4.343, 5.071 Å; angles 90.00, 90.00, 90.00 degrees
Element x y z (fractional)
La (0.000, 0.000, 0.000)
Al (0.000, 0.500, 0.500)
Al (0.500, 0.000, 0.500)
Sb (0.500, 0.500, 0.000)
N (0.000, 0.000, 0.500)

=====

(8)
A plane-wave DFT calculation with SCAN was carried out for PdSN2O at its PBEsol-relaxed geometry.

## Properties
ΔE_f (raw) = 135.4 kJ per mole of atoms

Cell lengths 3.718, 3.718, 3.291 Å; angles 90.00, 90.00, 90.00 degrees
Element x y z (fractional)
Pd (0.000, 0.000, 0.000)
S (0.500, 0.500, 0.500)
N (0.000, 0.500, 0.500)
N (0.500, 0.000, 0.500)
O (0.500, 0.500, 0.000)

=====

(9)
A plane-wave DFT calculation with SCAN was carried out for Al2AgMo at its PBEsol-relaxed geometry.

## Properties
Energy of formation = -0.063 eV/atom

Cell lengths 6.207, 6.207, 6.207 Å; angles 90.00, 90.00, 90.00 degrees
Element x y z (fractional)
Al (0.250, 0.250, 0.250)
Al (0.250, 0.250, 0.750)
Al (0.250, 0.750, 0.250)
Al (0.250, 0.750, 0.750)
Al (0.750, 0.250, 0.250)
Al (0.750, 0.250, 0.750)
Al (0.750, 0.750, 0.250)
Al (0.750, 0.750, 0.750)
Ag (0.000, 0.000, 0.000)
Ag (0.000, 0.500, 0.500)
Ag (0.500, 0.000, 0.500)
Ag (0.500, 0.500, 0.000)
Mo (0.000, 0.000, 0.500)
Mo (0.000, 0.500, 0.000)
Mo (0.500, 0.000, 0.000)
Mo (0.500, 0.500, 0.500)

=====

(10)
A plane-wave DFT calculation with SCAN was carried out for ZnSbS2N at its PBEsol-relaxed geometry.

## Properties
ΔE_f (raw) = 60.7 kJ per mole of atoms

Cell lengths 4.806, 4.806, 3.717 Å; angles 90.00, 90.00, 90.00 degrees
Element x y z (fractional)
Zn (0.000, 0.000, 0.000)
Sb (0.500, 0.500, 0.500)
S (0.000, 0.500, 0.000)
S (0.500, 0.000, 0.000)
N (0.000, 0.000, 0.500)

=====

(11)
A plane-wave DFT calculation with SCAN was carried out for Li4Co3Ni3Sn2O16 at its PBEsol-relaxed geometry.

## Properties
ΔE_f (raw) = -158.6 kJ per mole of atoms

Cell lengths 5.708, 5.708, 9.402 Å; angles 90.18, 90.18, 60.08 degrees
Element x y z (fractional)
Li (0.000, 0.000, 0.000)
Li (0.002, 0.002, 0.501)
Li (0.335, 0.335, 0.896)
Li (0.669, 0.669, 0.399)
Co (0.170, 0.170, 0.221)
Co (0.340, 0.832, 0.721)
Co (0.832, 0.340, 0.721)
Ni (0.171, 0.662, 0.221)
Ni (0.662, 0.171, 0.221)
Ni (0.832, 0.832, 0.720)
Sn (0.333, 0.333, 0.500)
Sn (0.667, 0.667, 0.998)
O (0.004, 0.004, 0.812)
O (0.005, 0.005, 0.312)
O (0.033, 0.482, 0.336)
O (0.157, 0.157, 0.609)
O (0.157, 0.690, 0.608)
O (0.312, 0.845, 0.109)
O (0.330, 0.330, 0.118)
O (0.482, 0.033, 0.336)
O (0.485, 0.485, 0.337)
O (0.516, 0.970, 0.835)
O (0.517, 0.517, 0.835)
O (0.665, 0.665, 0.621)
O (0.690, 0.157, 0.608)
O (0.844, 0.844, 0.111)
O (0.845, 0.312, 0.109)
O (0.970, 0.516, 0.835)

=====

(12)
A plane-wave DFT calculation with SCAN was carried out for CaTcAs2 at its PBEsol-relaxed geometry.

## Properties
Energy of formation = -0.514 eV/atom

Cell lengths 3.983, 3.983, 17.660 Å; angles 90.00, 90.00, 120.00 degrees
Element x y z (fractional)
Ca (0.000, 0.000, 0.000)
Ca (0.333, 0.667, 0.667)
Ca (0.667, 0.333, 0.333)
Tc (0.000, 0.000, 0.186)
Tc (0.333, 0.667, 0.853)
Tc (0.667, 0.333, 0.519)
As (0.000, 0.000, 0.559)
As (0.000, 0.000, 0.775)
As (0.333, 0.667, 0.226)
As (0.333, 0.667, 0.442)
As (0.667, 0.333, 0.109)
As (0.667, 0.333, 0.892)

=====

(13)
A plane-wave DFT calculation with SCAN was carried out for MgTcSb2 at its PBEsol-relaxed geometry.

## Properties
ΔE_f (raw) = 0.5 kJ per mole of atoms

Cell lengths 3.234, 3.234, 7.722 Å; angles 90.00, 90.00, 90.00 degrees
Element x y z (fractional)
Mg (0.000, 0.000, 0.000)
Tc (0.000, 0.000, 0.500)
Sb (0.500, 0.500, 0.290)
Sb (0.500, 0.500, 0.710)

=====

(14)
A plane-wave DFT calculation with SCAN was carried out for RuPbSe at its PBEsol-relaxed geometry.

## Properties
ΔE_f (raw) = 6.1 kJ per mole of atoms

Cell lengths 3.086, 3.086, 12.896 Å; angles 90.00, 90.00, 90.00 degrees
Element x y z (fractional)
Ru (0.000, 0.000, 0.000)
Ru (0.500, 0.500, 0.500)
Pb (0.000, 0.000, 0.672)
Pb (0.500, 0.500, 0.172)
Se (0.000, 0.000, 0.406)
Se (0.500, 0.500, 0.906)

=====

(15)
A plane-wave DFT calculation with SCAN was carried out for Li2TaPb at its PBEsol-relaxed geometry.

## Properties
Energy of formation = 0.245 eV/atom

Cell lengths 3.064, 3.064, 7.746 Å; angles 90.00, 90.00, 90.00 degrees
Element x y z (fractional)
Li (0.000, 0.000, 0.000)
Li (0.500, 0.500, 0.214)
Ta (0.500, 0.500, 0.758)
Pb (0.000, 0.000, 0.474)

=====

(16)
A plane-wave DFT calculation with SCAN was carried out for Ag2Hg at its PBEsol-relaxed geometry.

## Properties
Energy of formation = 0.040 eV/atom

Cell lengths 10.782, 2.977, 7.018 Å; angles 90.00, 106.86, 90.00 degrees
Element x y z (fractional)
Ag (0.031, 0.000, 0.296)
Ag (0.137, 0.500, 0.029)
Ag (0.363, 0.000, 0.971)
Ag (0.469, 0.500, 0.704)
Ag (0.531, 0.500, 0.296)
Ag (0.637, 0.000, 0.029)
Ag (0.863, 0.500, 0.971)
Ag (0.969, 0.000, 0.704)
Hg (0.188, 0.500, 0.645)
Hg (0.312, 0.000, 0.355)
Hg (0.688, 0.000, 0.645)
Hg (0.812, 0.500, 0.355)

=====

(17)
A plane-wave DFT calculation with SCAN was carried out for NiAsRu2 at its PBEsol-relaxed geometry.

## Properties
Energy of formation = 0.145 eV/atom

Cell lengths 2.749, 2.749, 24.089 Å; angles 90.00, 90.00, 120.00 degrees
Element x y z (fractional)
Ni (0.000, 0.000, 0.000)
Ni (0.333, 0.667, 0.667)
Ni (0.667, 0.333, 0.333)
As (0.000, 0.000, 0.258)
As (0.333, 0.667, 0.924)
As (0.667, 0.333, 0.591)
Ru (0.000, 0.000, 0.506)
Ru (0.000, 0.000, 0.754)
Ru (0.333, 0.667, 0.172)
Ru (0.333, 0.667, 0.420)
Ru (0.667, 0.333, 0.087)
Ru (0.667, 0.333, 0.839)

=====

(18)
A plane-wave DFT calculation with SCAN was carried out for Al3Sb4 at its PBEsol-relaxed geometry.

## Properties
ΔE_f (raw) = 13.0 kJ per mole of atoms

Cell lengths 3.719, 3.719, 24.282 Å; angles 90.00, 90.00, 90.00 degrees
Element x y z (fractional)
Al (0.000, 0.000, 0.000)
Al (0.000, 0.000, 0.285)
Al (0.000, 0.000, 0.715)
Al (0.500, 0.500, 0.215)
Al (0.500, 0.500, 0.500)
Al (0.500, 0.500, 0.785)
Sb (0.000, 0.000, 0.171)
Sb (0.000, 0.000, 0.440)
Sb (0.000, 0.000, 0.560)
Sb (0.000, 0.000, 0.829)
Sb (0.500, 0.500, 0.060)
Sb (0.500, 0.500, 0.329)
Sb (0.500, 0.500, 0.671)
Sb (0.500, 0.500, 0.940)

=====

(19)
A plane-wave DFT calculation with SCAN was carried out for NbO2F at its PBEsol-relaxed geometry.

## Properties
ΔE_f (raw) = -278.0 kJ per mole of atoms

Cell lengths 4.741, 5.044, 8.875 Å; angles 90.00, 90.00, 90.00 degrees
Element x y z (fractional)
Nb (0.212, 0.234, 0.346)
Nb (0.288, 0.766, 0.846)
Nb (0.712, 0.266, 0.654)
Nb (0.788, 0.734, 0.154)
O (0.002, 0.879, 0.998)
O (0.008, 0.434, 0.186)
O (0.492, 0.566, 0.686)
O (0.498, 0.121, 0.498)
O (0.502, 0.621, 0.002)
O (0.508, 0.066, 0.814)
O (0.992, 0.934, 0.314)
O (0.998, 0.379, 0.502)
F (0.001, 0.451, 0.809)
F (0.499, 0.549, 0.309)
F (0.501, 0.049, 0.191)
F (0.999, 0.951, 0.691)

=====

(20)
A plane-wave DFT calculation with SCAN was carried out for Al3Ag4 at its PBEsol-relaxed geometry.

## Properties
Energy of formation = -0.087 eV/atom

Cell lengths 12.113, 2.917, 6.901 Å; angles 90.00, 112.49, 90.00 degrees
Element x y z (fractional)
Al (0.000, 0.000, 0.000)
Al (0.076, 0.500, 0.705)
Al (0.356, 0.500, 0.563)
Al (0.500, 0.500, 0.000)
Al (0.576, 0.000, 0.705)
Al (0.856, 0.000, 0.563)
Ag (0.146, 0.000, 0.426)
Ag (0.204, 0.500, 0.124)
Ag (0.292, 0.000, 0.850)
Ag (0.426, 0.000, 0.288)
Ag (0.646, 0.500, 0.426)
Ag (0.704, 0.000, 0.124)
Ag (0.792, 0.500, 0.850)
Ag (0.926, 0.500, 0.288)